Material: Y2Sn2Hg
Method: DFT, PBEsol
State: optimized geometry

The value obtained for the energy above the most stable polymorph in this dataset is 0.456 eV/atom.

The structure belongs to space group I4/mmm (No. 139); the cell edges are 5.841, 5.841 and 8.866 Å and the angles 90.00°, 90.00° and 90.00°. The inequivalent atoms are Y at (0.000, 0.500, 0.250), Sn at (0.000, 0.000, 0.164) and Hg at (0.000, 0.000, 0.500).

***

Material: Y2Sn2Hg
Method: DFT, PBEsol
State: optimized geometry

The value obtained for the energy above the most stable polymorph in this dataset is 0.000 eV/atom.

The structure belongs to space group P4/mbm (No. 127); the cell edges are 7.537, 7.537 and 4.440 Å and the angles 90.00°, 90.00° and 90.00°. The inequivalent atoms are Y at (0.172, 0.328, 0.000), Sn at (0.132, 0.632, 0.500) and Hg at (0.000, 0.000, 0.500).

***

Material: ZnSn3Hg
Method: DFT, PBEsol
State: optimized geometry

The structure belongs to space group Pm-3m (No. 221); the cell edges are 5.150, 5.150 and 5.150 Å and the angles 90.00°, 90.00° and 90.00°. The inequivalent atoms are Zn at (0.000, 0.000, 0.000), Sn at (0.000, 0.000, 0.500) and Hg at (0.500, 0.500, 0.500).

***

Material: SrHg2
Method: DFT, PBEsol
State: optimized geometry

The structure belongs to space group I4/mmm (No. 139); the cell edges are 3.997, 3.997 and 10.076 Å and the angles 90.00°, 90.00° and 90.00°. The inequivalent atoms are Sr at (0.000, 0.000, 0.000) and Hg at (0.000, 0.000, 0.326).

***

Material: SrHg2
Method: DFT, PBEsol
State: optimized geometry

The structure belongs to space group Imma (No. 74); the cell edges are 4.995, 7.590 and 8.590 Å and the angles 90.00°, 90.00° and 90.00°. The inequivalent atoms are Sr at (0.000, 0.250, 0.034) and Hg at (0.000, 0.040, 0.665).

***

Material: SrHg
Method: DFT, PBEsol
State: optimized geometry

The structure belongs to space group Cmcm (No. 63); the cell edges are 4.127, 11.940 and 5.137 Å and the angles 90.00°, 90.00° and 90.00°. The inequivalent atoms are Sr at (0.000, 0.139, 0.250) and Hg at (0.000, 0.420, 0.250).

***

Material: SrHg2
Method: DFT, PBEsol
State: optimized geometry

The structure belongs to space group P6/mmm (No. 191); the cell edges are 4.9740, 4.9740 and 3.8392 Å and the angles 90.00°, 90.00° and 120.00°. The inequivalent atoms are Sr at (0.0000, 0.0000, 0.0000) and Hg at (0.3333, 0.6667, 0.5000).

***

Material: SrHg2
Method: DFT, PBEsol
State: optimized geometry

The structure belongs to space group P6_3/mmc (No. 194); the cell edges are 5.3934, 5.3934 and 6.5188 Å and the angles 90.00°, 90.00° and 120.00°. The inequivalent atoms are Sr at (0.3333, 0.6667, 0.2500), Hg at (0.0000, 0.0000, 0.0000) and Hg at (0.3333, 0.6667, 0.7500).

***

Material: SrHg3
Method: DFT, PBEsol
State: optimized geometry

The structure belongs to space group I4/mmm (No. 139); the cell edges are 4.928, 4.928 and 8.373 Å and the angles 90.00°, 90.00° and 90.00°. The inequivalent atoms are Sr at (0.000, 0.000, 0.000), Hg at (0.000, 0.000, 0.500) and Hg at (0.000, 0.500, 0.250).

***

Material: SrHg7
Method: DFT, PBEsol
State: optimized geometry

The structure belongs to space group Fm-3m (No. 225); the cell edges are 9.321, 9.321 and 9.321 Å and the angles 90.00°, 90.00° and 90.00°. The inequivalent atoms are Sr at (0.000, 0.000, 0.000), Hg at (0.000, 0.000, 0.500) and Hg at (0.000, 0.250, 0.250).

***

Material: SrHg2
Method: DFT, PBEsol
State: optimized geometry

The structure belongs to space group Pnma (No. 62); the cell edges are 6.581, 5.574 and 8.975 Å and the angles 90.00°, 90.00° and 90.00°. The inequivalent atoms are Sr at (0.195, 0.250, 0.093), Hg at (0.027, 0.750, 0.259) and Hg at (0.190, 0.250, 0.447).

***

Material: Sr4Hg3
Method: DFT, PBEsol
State: optimized geometry

The structure belongs to space group I4/mmm (No. 139); the cell edges are 4.020, 4.020 and 29.858 Å and the angles 90.00°, 90.00° and 90.00°. The inequivalent atoms are Sr at (0.000, 0.000, 0.062), Sr at (0.000, 0.000, 0.332), Hg at (0.000, 0.000, 0.222) and Hg at (0.000, 0.000, 0.500).

***

| no. | total DFT energy (no corrections) (eV/cell) | formation enthalpy at 0 K (meV/atom) | mass density (g cm⁻³) |
| --- | --- | --- | --- |
| 1 | -47.3 | -187 | 6.8 |
| 2 | -51.9 | -644 | 8.1 |
| 3 | -13.1 | 360 | 7.6 |
| 4 | -9.0 | -515 | 10.1 |
| 5 | -18.6 | -560 | 10.0 |
| 6 | -14.0 | -544 | 7.6 |
| 7 | -4.6 | -555 | 9.9 |
| 8 | -8.8 | -480 | 9.9 |
| 9 | -10.6 | -444 | 11.3 |
| 10 | -29.3 | -189 | 12.2 |
| 11 | -17.8 | -493 | 9.9 |
| 12 | -24.0 | -423 | 6.6 |